# 1
Material: Mg2BeHg
Method: DFT, GGA-PBE
State: optimized geometry

POSCAR file:
```
Mg2BeHg
1.0
-2.088 2.088 9.431
2.088 -2.088 9.431
2.088 2.088 -9.431
Mg Be Hg
4 2 2
Direct
0.110 0.625 0.985
0.375 0.360 0.485
0.640 0.125 0.015
0.875 0.890 0.515
0.000 0.000 0.000
0.750 0.250 0.500
0.250 0.750 0.500
0.500 0.500 0.000
```

Output
Energy above the lowest structure with this stoichiometry = 0.296 eV per atom
Energy = -1.42 eV per atom
ΔE_f = 0.39 eV per atom
Magnetic moment = 0.00 Bohr magnetons per cell

=====

# 2
Material: MgBe3Hg
Method: DFT, GGA-PBE
State: optimized geometry

POSCAR file:
```
MgBe3Hg
1.0
4.480 0.000 0.000
0.000 4.480 0.000
0.000 0.000 4.480
Mg Be Hg
1 3 1
Direct
0.000 0.000 0.000
0.000 0.500 0.500
0.500 0.000 0.500
0.500 0.500 0.000
0.500 0.500 0.500
```

Output
Energy above the lowest structure with this stoichiometry = 0.000 eV per atom
Energy = -1.77 eV per atom
ΔE_f = 0.84 eV per atom
Magnetic moment = 0.00 Bohr magnetons per cell

=====

Q: Look up the energy of the second one.
A: -1.77 eV per atom